Material: NpTi2Au
Method: DFT, PBE
State: optimized geometry

```
NpTi2Au
1.0
3.185 0.000 0.000
0.000 3.185 0.000
0.000 0.000 7.264
Ti Np Au
2 1 1
direct
0.000 0.000 0.734 Ti
0.000 0.000 0.266 Ti
0.500 0.500 0.000 Np
0.500 0.500 0.500 Au
```

Values from the calculation:
- Calculated formation energy: -0.5 kcal/mol of atoms
- Total energy: -8.023 eV per atom
- Excess energy over the best structure of this formula in the dataset: 11 kJ/mol of formula units


Material: La3Nd2Sm6
Method: DFT, PBE
State: optimized geometry

```
La3Nd2Sm6
1.0
5.542 0.000 2.326
2.771 5.856 1.163
-0.217 0.000 12.018
Nd La Sm
2 3 6
direct
0.859 0.281 0.500 Nd
0.141 0.719 0.500 Nd
0.000 0.000 0.000 La
0.681 0.639 0.000 La
0.319 0.361 0.000 La
0.507 0.689 0.711 Sm
0.493 0.311 0.289 Sm
0.815 0.000 0.767 Sm
0.195 0.311 0.711 Sm
0.185 0.000 0.233 Sm
0.805 0.689 0.289 Sm
```

Values from the calculation:
- Calculated formation energy: 3.4 kcal/mol of atoms
- Total energy: -4.638 eV per atom
- Excess energy over the best structure of this formula in the dataset: 0 kJ/mol of formula units


Material: Sr8Ag2Rh
Method: DFT, PBE
State: optimized geometry

```
Sr8Ag2Rh
1.0
7.234 0.000 -3.446
-0.005 8.322 -0.011
-0.499 0.024 8.268
Sr Ag Rh
8 2 1
direct
0.299 0.605 0.597 Sr
0.198 0.104 0.396 Sr
0.289 0.756 0.085 Sr
0.711 0.244 0.915 Sr
0.802 0.896 0.604 Sr
0.204 0.244 0.915 Sr
0.796 0.756 0.085 Sr
0.701 0.395 0.403 Sr
0.097 0.450 0.194 Ag
0.903 0.550 0.806 Ag
0.000 0.000 0.000 Rh
```

Values from the calculation:
- Calculated formation energy: -3.6 kcal/mol of atoms
- Total energy: -2.564 eV per atom


Question: Which value of calculated formation energy does entry 1 give?
Answer: -0.5 kcal/mol of atoms


Copy entry 1 word for word.
Material: NpTi2Au
Method: DFT, PBE
State: optimized geometry

```
NpTi2Au
1.0
3.185 0.000 0.000
0.000 3.185 0.000
0.000 0.000 7.264
Ti Np Au
2 1 1
direct
0.000 0.000 0.734 Ti
0.000 0.000 0.266 Ti
0.500 0.500 0.000 Np
0.500 0.500 0.500 Au
```

Values from the calculation:
- Calculated formation energy: -0.5 kcal/mol of atoms
- Total energy: -8.023 eV per atom
- Excess energy over the best structure of this formula in the dataset: 11 kJ/mol of formula units


Question: The highest total energy belongs to which entry?
Answer: Sr8Ag2Rh